First-principles (GGA-PBE) data for BaMg3 after structural relaxation, as listed in Alexandria.

Values from the calculation:
mass density: 2.73 g/cm³
spin magnetization: 0.0 μB per formula unit
space group: Pnma, No. 62
formation enthalpy at 0 K: 0.0589 eV/atom
V: 511.2 Å³ per cell
uncorrected energy: -25.88 eV for the cell shown

a b c (Å): 6.2244 11.2930 7.2721
angles (deg): 90.00 90.00 90.00
Closest atoms and distances in Å follow each position.
Element x y z (fractional)
1 Ba 0.0510 0.2500 0.0880  7 Mg 3.36-3.66
2 Ba 0.4490 0.7500 0.5880  7 Mg 3.36-3.66
3 Ba 0.5510 0.2500 0.4120  7 Mg 3.36-3.66
4 Ba 0.9490 0.7500 0.9120  7 Mg 3.36-3.66
5 Mg 0.0675 0.2500 0.6181  2 Mg 3.08, 2 Ba 3.36-3.42
6 Mg 0.1748 0.5136 0.3358  4 Mg 3.08-3.35
7 Mg 0.1748 0.9864 0.3358  4 Mg 3.08-3.35
8 Mg 0.3252 0.0136 0.8358  4 Mg 3.08-3.35
9 Mg 0.3252 0.4864 0.8358  4 Mg 3.08-3.35
10 Mg 0.4325 0.7500 0.1181  2 Mg 3.08, 2 Ba 3.36-3.42
11 Mg 0.5675 0.2500 0.8819  2 Mg 3.08, 2 Ba 3.36-3.42
12 Mg 0.6748 0.5136 0.1642  4 Mg 3.08-3.35
13 Mg 0.6748 0.9864 0.1642  4 Mg 3.08-3.35
14 Mg 0.8252 0.0136 0.6642  4 Mg 3.08-3.35
15 Mg 0.8252 0.4864 0.6642  4 Mg 3.08-3.35
16 Mg 0.9325 0.7500 0.3819  2 Mg 3.08, 2 Ba 3.36-3.42

First-principles (GGA-PBE) data for BaMg3 after structural relaxation, as listed in Alexandria.

Values from the calculation:
mass density: 0.87 g/cm³
spin magnetization: 0.0 μB per formula unit
space group: Pm-3m, No. 221
formation enthalpy at 0 K: 1.0551 eV/atom
V: 403.2 Å³ per cell
uncorrected energy: -2.49 eV for the cell shown

a b c (Å): 7.3877 7.3877 7.3877
angles (deg): 90.00 90.00 90.00
Closest atoms and distances in Å follow each position.
Element x y z (fractional)
1 Ba 0.0000 0.0000 0.0000  6 Mg 3.69
2 Mg 0.0000 0.0000 0.5000  2 Ba 3.69
3 Mg 0.0000 0.5000 0.0000  2 Ba 3.69
4 Mg 0.5000 0.0000 0.0000  2 Ba 3.69

First-principles (GGA-PBE) data for Ba5Mg6 after structural relaxation, as listed in Alexandria.

Values from the calculation:
mass density: 3.12 g/cm³
spin magnetization: 0.0 μB per formula unit
space group: Immm, No. 71
formation enthalpy at 0 K: 0.0599 eV/atom
V: 443.5 Å³ per cell
uncorrected energy: -18.52 eV for the cell shown

a b c (Å): 10.1743 10.1743 10.1743
angles (deg): 145.87 130.71 61.32
Closest atoms and distances in Å follow each position.
Element x y z (fractional)
1 Ba 0.0000 0.0000 0.0000  4 Mg 3.48
2 Ba 0.1596 0.6596 0.5000  8 Mg 3.82-4.04, 4 Ba 3.89-4.09
3 Ba 0.3025 0.3025 0.0000  6 Mg 3.59-3.83, 2 Ba 3.89
4 Ba 0.6975 0.6975 0.0000  6 Mg 3.59-3.83, 2 Ba 3.89
5 Ba 0.8404 0.3404 0.5000  8 Mg 3.82-4.04, 4 Ba 3.89-4.09
6 Mg 0.1852 0.8717 0.3135  1 Mg 3.17, 1 Ba 3.48
7 Mg 0.3068 0.5000 0.8068  1 Mg 3.28
8 Mg 0.4418 0.1283 0.3135  1 Mg 3.17, 1 Ba 3.48
9 Mg 0.5582 0.8717 0.6865  1 Mg 3.17, 1 Ba 3.48
10 Mg 0.6932 0.5000 0.1932  1 Mg 3.28
11 Mg 0.8148 0.1283 0.6865  1 Mg 3.17, 1 Ba 3.48

First-principles (GGA-PBE) data for BaMg2 after structural relaxation, as listed in Alexandria.

Values from the calculation:
mass density: 2.94 g/cm³
spin magnetization: 0.0 μB per formula unit
space group: Cmcm, No. 63
formation enthalpy at 0 K: -0.0072 eV/atom
V: 210.3 Å³ per cell
uncorrected energy: -10.27 eV for the cell shown

a b c (Å): 8.1427 8.1427 5.6082
angles (deg): 90.00 90.00 145.55
Closest atoms and distances in Å follow each position.
Element x y z (fractional)
1 Ba 0.0853 0.9147 0.7500  10 Mg 3.60-4.00, 2 Ba 3.86
2 Ba 0.9147 0.0853 0.2500  10 Mg 3.60-4.00, 2 Ba 3.86
3 Mg 0.2426 0.7574 0.2500  2 Mg 3.08
4 Mg 0.3801 0.6199 0.7500  2 Mg 3.08
5 Mg 0.6199 0.3801 0.2500  2 Mg 3.08
6 Mg 0.7574 0.2426 0.7500  2 Mg 3.08

First-principles (GGA-PBE) data for Ba8Mg after structural relaxation, as listed in Alexandria.

Values from the calculation:
offset from the most stable computed form: 0 meV/atom
mass density: 3.57 g/cm³
spin magnetization: 0.0 μB per formula unit
space group: I4/mmm, No. 139
formation enthalpy at 0 K: 0.0237 eV/atom
V: 522.5 Å³ per cell
uncorrected energy: -16.76 eV for the cell shown

a b c (Å): 10.6161 10.6161 10.6161
angles (deg): 93.05 93.05 153.33
Closest atoms and distances in Å follow each position.
Element x y z (fractional)
1 Ba 0.0000 0.3356 0.3356  8 Ba 4.19-4.26
2 Ba 0.0000 0.6644 0.6644  8 Ba 4.19-4.26
3 Ba 0.3356 0.0000 0.3356  8 Ba 4.19-4.26
4 Ba 0.3491 0.3491 0.6982  2 Mg 3.96, 6 Ba 4.26-4.41
5 Ba 0.3491 0.6509 0.0000  2 Mg 3.96, 6 Ba 4.26-4.41
6 Ba 0.6509 0.3491 0.0000  2 Mg 3.96, 6 Ba 4.26-4.41
7 Ba 0.6509 0.6509 0.3018  2 Mg 3.96, 6 Ba 4.26-4.41
8 Ba 0.6644 0.0000 0.6644  8 Ba 4.19-4.26
9 Mg 0.0000 0.0000 0.0000  8 Ba 3.96

First-principles (GGA-PBE) data for BaMg2 after structural relaxation, as listed in Alexandria.

Values from the calculation:
mass density: 2.65 g/cm³
spin magnetization: 0.0 μB per formula unit
space group: I4_1/amd, No. 141
formation enthalpy at 0 K: 0.0341 eV/atom
V: 232.9 Å³ per cell
uncorrected energy: -10.02 eV for the cell shown

a b c (Å): 10.2759 10.2759 10.2759
angles (deg): 152.37 152.37 39.47
Closest atoms and distances in Å follow each position.
Element x y z (fractional)
1 Ba 0.3750 0.6250 0.7500  12 Mg 3.81-4.09
2 Ba 0.6250 0.3750 0.2500  12 Mg 3.81-4.09
3 Mg 0.0442 0.7942 0.2500  3 Mg 2.99-3.13
4 Mg 0.2058 0.9558 0.2500  3 Mg 2.99-3.13
5 Mg 0.7942 0.0442 0.7500  3 Mg 2.99-3.13
6 Mg 0.9558 0.2058 0.7500  3 Mg 2.99-3.13